The following is a GGA-PBE calculation of a relaxed TmZn2Pt2 crystal, from Alexandria.

POSCAR file:
```
TmZn2Pt2
1.0
4.853 0.000 0.000
0.000 4.607 0.000
-1.651 0.000 7.975
Tm Zn Pt
2 4 4
direct
0.200 0.250 0.274
0.800 0.750 0.726
0.343 0.250 0.653
0.360 0.750 0.997
0.640 0.250 0.003
0.657 0.750 0.347
0.107 0.250 0.906
0.208 0.750 0.495
0.792 0.250 0.505
0.893 0.750 0.094
```

DFT formation energy: -0.79 eV per atom
final energy: -4.610 eV/atom
symmetry: P2_1/m (11)
density of states at the Fermi level: 1.9 states/eV/f.u.
total magnetic moment: 0.000 μB per atom
energy relative to the lowest polymorph listed for this composition: 0.0408 eV/atom